No. 1
First-principles (SCAN) data for a crystal of SiTcSe2 relaxed with PBEsol, as listed in the Alexandria database.

a = 6.7093 Å, b = 6.7093 Å, c = 6.7093 Å
α = 151.83°, β = 147.50°, γ = 43.53°
Closest atoms and distances in Å follow each position.
Fractional positions:
Si 0.0000 0.0000 0.0000  4 Se 2.45, 4 Tc 2.49
Tc 0.5000 0.5000 0.0000  4 Si 2.49, 4 Se 2.62
Se 0.1466 0.6466 0.5000  2 Si 2.45, 2 Tc 2.62
Se 0.8534 0.3534 0.5000  2 Si 2.45, 2 Tc 2.62

* crystal system: orthorhombic
* SG: Immm (71)
* energy relative to the elements, uncorrected: -0.17 eV/atom
* magnetization: 0.000 μB/cell

No. 2
First-principles (SCAN) data for a crystal of SiTc2Se relaxed with PBEsol, as listed in the Alexandria database.

a = 4.2504 Å, b = 4.2504 Å, c = 5.0077 Å
α = 102.42°, β = 102.42°, γ = 40.12°
Closest atoms and distances in Å follow each position.
Fractional positions:
Si 0.0000 0.0000 0.0000  6 Tc 2.48-2.70
Tc 0.2644 0.2644 0.7478  3 Se 2.48-2.63, 3 Si 2.48-2.70
Tc 0.7356 0.7356 0.2522  3 Se 2.48-2.63, 3 Si 2.48-2.70
Se 0.5000 0.5000 0.5000  6 Tc 2.48-2.63

* E above lowest polymorph: 170.3 meV per atom
* crystal system: monoclinic
* SG: C2/m (12)
* energy relative to the elements, uncorrected: 0.08 eV/atom
* magnetization: 0.000 μB/cell

No. 3
First-principles (SCAN) data for a crystal of SiTc2Se relaxed with PBEsol, as listed in the Alexandria database.

a = 2.9665 Å, b = 4.4616 Å, c = 4.2500 Å
α = 90.00°, β = 90.00°, γ = 90.00°
Closest atoms and distances in Å follow each position.
Fractional positions:
Si 0.0000 0.0000 0.0000  6 Tc 2.51-2.64
Tc 0.0000 0.5000 0.7280  2 Si 2.51, 4 Se 2.58-2.60
Tc 0.5000 0.0000 0.5128  2 Se 2.53, 4 Si 2.55-2.64, 4 Tc 2.83
Se 0.5000 0.5000 0.2305  6 Tc 2.53-2.60

* E above lowest polymorph: 0.0 meV per atom
* crystal system: orthorhombic
* SG: Pmm2 (25)
* energy relative to the elements, uncorrected: -0.09 eV/atom
* magnetization: 0.000 μB/cell

No. 4
First-principles (SCAN) data for a crystal of SiTcSe2 relaxed with PBEsol, as listed in the Alexandria database.

a = 6.8070 Å, b = 6.8070 Å, c = 6.8070 Å
α = 131.66°, β = 131.66°, γ = 70.77°
Closest atoms and distances in Å follow each position.
Fractional positions:
Si 0.0000 0.0000 0.0000  4 Se 2.45
Si 0.7500 0.2500 0.5000  4 Se 2.45
Tc 0.2500 0.7500 0.5000  4 Se 2.37
Tc 0.5000 0.5000 0.0000  4 Se 2.37
Se 0.1365 0.6250 0.0115  2 Tc 2.37, 2 Si 2.45
Se 0.3750 0.3865 0.5115  2 Tc 2.37, 2 Si 2.45
Se 0.6135 0.1250 0.9885  2 Tc 2.37, 2 Si 2.45
Se 0.8750 0.8635 0.4885  2 Tc 2.37, 2 Si 2.45

* crystal system: tetragonal
* SG: I-42d (122)
* energy relative to the elements, uncorrected: 0.38 eV/atom
* magnetization: 0.000 μB/cell

No. 5
First-principles (SCAN) data for a crystal of SiTcSe relaxed with PBEsol, as listed in the Alexandria database.

a = 4.2269 Å, b = 4.2269 Å, c = 2.9420 Å
α = 90.00°, β = 90.00°, γ = 120.00°
Closest atoms and distances in Å follow each position.
Fractional positions:
Si 0.0000 0.0000 0.0000  6 Se 2.85, 6 Tc 2.85, 2 Si 2.94
Tc 0.3333 0.6667 0.5000  3 Se 2.44
Se 0.6667 0.3333 0.5000  3 Tc 2.44

* E above lowest polymorph: 0.0 meV per atom
* crystal system: hexagonal
* SG: P-6m2 (187)
* energy relative to the elements, uncorrected: 0.40 eV/atom
* magnetization: 0.000 μB/cell

No. 6
First-principles (SCAN) data for a crystal of SiTcSe2 relaxed with PBEsol, as listed in the Alexandria database.

a = 8.6108 Å, b = 8.6108 Å, c = 8.6108 Å
α = 20.51°, β = 20.51°, γ = 20.51°
Closest atoms and distances in Å follow each position.
Fractional positions:
Si 0.0000 0.0000 0.0000  6 Se 2.99, 6 Si 3.07
Tc 0.5000 0.5000 0.5000  6 Se 2.52
Se 0.2379 0.2379 0.2379  3 Tc 2.52
Se 0.7621 0.7621 0.7621  3 Tc 2.52

* crystal system: trigonal
* SG: R-3m (166)
* energy relative to the elements, uncorrected: 0.29 eV/atom
* magnetization: 0.000 μB/cell

No. 7
First-principles (SCAN) data for a crystal of SiTcSe2 relaxed with PBEsol, as listed in the Alexandria database.

a = 2.8738 Å, b = 2.8738 Å, c = 9.1994 Å
α = 90.00°, β = 90.00°, γ = 116.92°
Closest atoms and distances in Å follow each position.
Fractional positions:
Si 0.0000 0.0000 0.0000  6 Si 2.87-3.01, 4 Se 2.97
Tc 0.0000 0.0000 0.5000  4 Se 2.53
Se 0.5000 0.5000 0.2789  2 Tc 2.53
Se 0.5000 0.5000 0.7211  2 Tc 2.53

* crystal system: orthorhombic
* SG: Cmmm (65)
* energy relative to the elements, uncorrected: 0.67 eV/atom
* magnetization: 0.000 μB/cell

No. 8
First-principles (SCAN) data for a crystal of SiTc2Se relaxed with PBEsol, as listed in the Alexandria database.

a = 6.5888 Å, b = 6.5888 Å, c = 6.5888 Å
α = 131.52°, β = 131.52°, γ = 70.98°
Closest atoms and distances in Å follow each position.
Fractional positions:
Si 0.0000 0.0000 0.0000  4 Tc 2.32
Si 0.7500 0.2500 0.5000  4 Tc 2.32
Tc 0.1208 0.6250 0.9958  2 Si 2.32, 2 Se 2.35
Tc 0.3750 0.3708 0.4958  2 Si 2.32, 2 Se 2.35
Tc 0.6292 0.1250 0.0042  2 Si 2.32, 2 Se 2.35
Tc 0.8750 0.8792 0.5042  2 Si 2.32, 2 Se 2.35
Se 0.2500 0.7500 0.5000  4 Tc 2.35
Se 0.5000 0.5000 0.0000  4 Tc 2.35

* E above lowest polymorph: 580.1 meV per atom
* crystal system: tetragonal
* SG: I-42d (122)
* energy relative to the elements, uncorrected: 0.49 eV/atom
* magnetization: 0.000 μB/cell

No. 9
First-principles (SCAN) data for a crystal of SiTcSe2 relaxed with PBEsol, as listed in the Alexandria database.

a = 2.8692 Å, b = 2.8692 Å, c = 9.0092 Å
α = 90.00°, β = 90.00°, γ = 112.61°
Closest atoms and distances in Å follow each position.
Fractional positions:
Si 0.0000 0.0000 0.0000  2 Tc 2.44, 2 Se 2.66
Tc 0.5000 0.5000 0.7945  2 Si 2.44, 2 Se 2.51
Se 0.0000 0.0000 0.5795  2 Tc 2.51
Se 0.5000 0.5000 0.2365  2 Si 2.66, 4 Se 2.87

* crystal system: orthorhombic
* SG: Cmm2 (35)
* energy relative to the elements, uncorrected: 0.41 eV/atom
* magnetization: 0.000 μB/cell

No. 10
First-principles (SCAN) data for a crystal of SiTcSe relaxed with PBEsol, as listed in the Alexandria database.

a = 4.1409 Å, b = 4.1409 Å, c = 4.1409 Å
α = 60.00°, β = 60.00°, γ = 60.00°
Closest atoms and distances in Å follow each position.
Fractional positions:
Si 0.0000 0.0000 0.0000  4 Tc 2.54, 4 Se 2.54
Tc 0.7500 0.7500 0.7500  4 Si 2.54
Se 0.2500 0.2500 0.2500  4 Si 2.54

* E above lowest polymorph: 204.0 meV per atom
* crystal system: cubic
* SG: F-43m (216)
* energy relative to the elements, uncorrected: 0.61 eV/atom
* magnetization: 0.001 μB/cell

No. 11
First-principles (SCAN) data for a crystal of SiTeSe2 relaxed with PBEsol, as listed in the Alexandria database.

a = 5.0330 Å, b = 3.3796 Å, c = 5.5221 Å
α = 90.00°, β = 105.15°, γ = 90.00°
Closest atoms and distances in Å follow each position.
Fractional positions:
Si 0.0000 0.0000 0.0000  4 Se 2.49, 2 Te 2.76
Te 0.0000 0.0000 0.5000  2 Si 2.76
Se 0.3672 0.5000 0.1626  2 Si 2.49, 1 Se 2.50
Se 0.6328 0.5000 0.8374  2 Si 2.49, 1 Se 2.50

* crystal system: monoclinic
* SG: P2/m (10)
* energy relative to the elements, uncorrected: 0.08 eV/atom
* magnetization: 0.000 μB/cell

No. 12
First-principles (SCAN) data for a crystal of SiTe2Se relaxed with PBEsol, as listed in the Alexandria database.

a = 6.6070 Å, b = 6.6070 Å, c = 6.6070 Å
α = 112.98°, β = 112.98°, γ = 102.65°
Closest atoms and distances in Å follow each position.
Fractional positions:
Si 0.0000 0.0000 0.0000  4 Te 2.64
Si 0.7500 0.2500 0.5000  4 Te 2.64
Te 0.0961 0.6250 0.9711  2 Si 2.64, 2 Se 2.92
Te 0.3750 0.3461 0.4711  2 Si 2.64, 2 Se 2.92
Te 0.6539 0.1250 0.0289  2 Si 2.64, 2 Se 2.92
Te 0.8750 0.9039 0.5289  2 Si 2.64, 2 Se 2.92
Se 0.2500 0.7500 0.5000  4 Te 2.92
Se 0.5000 0.5000 0.0000  4 Te 2.92

* crystal system: tetragonal
* SG: I-42d (122)
* energy relative to the elements, uncorrected: 0.35 eV/atom
* magnetization: 0.000 μB/cell

No. 13
First-principles (SCAN) data for a crystal of SiTe2Se relaxed with PBEsol, as listed in the Alexandria database.

a = 5.1882 Å, b = 3.8206 Å, c = 5.3541 Å
α = 90.00°, β = 113.99°, γ = 90.00°
Closest atoms and distances in Å follow each position.
Fractional positions:
Si 0.0000 0.0000 0.0000  2 Se 2.60, 3 Te 2.74-2.82
Te 0.5075 0.0000 0.5391  2 Si 2.74-3.01
Te 0.7899 0.5000 0.2581  2 Si 2.82, 2 Se 2.91-2.95, 2 Te 3.14
Se 0.2231 0.5000 0.8240  2 Si 2.60

* crystal system: monoclinic
* SG: Pm (6)
* energy relative to the elements, uncorrected: 0.19 eV/atom
* magnetization: 0.000 μB/cell

No. 14
First-principles (SCAN) data for a crystal of SiTe2Se relaxed with PBEsol, as listed in the Alexandria database.

a = 5.7222 Å, b = 5.7222 Å, c = 5.9326 Å
α = 102.90°, β = 102.90°, γ = 33.79°
Closest atoms and distances in Å follow each position.
Fractional positions:
Si 0.0000 0.0000 0.0000  2 Se 2.42
Te 0.3256 0.3256 0.6905  2 Si 2.85, 1 Te 2.88
Te 0.4997 0.4997 0.3934  2 Si 2.87, 1 Te 2.88, 1 Se 3.07
Se 0.6647 0.6647 0.0402  2 Si 2.42

* crystal system: monoclinic
* SG: Cm (8)
* energy relative to the elements, uncorrected: 0.17 eV/atom
* magnetization: 0.000 μB/cell

No. 15
First-principles (SCAN) data for a crystal of ThSiSe relaxed with PBEsol, as listed in the Alexandria database.

a = 9.1859 Å, b = 9.1859 Å, c = 9.1859 Å
α = 155.13°, β = 155.13°, γ = 35.45°
Closest atoms and distances in Å follow each position.
Fractional positions:
Th 0.1317 0.1317 0.0000  5 Se 2.97-3.14, 4 Si 3.04
Th 0.8683 0.8683 0.0000  5 Se 2.97-3.14, 4 Si 3.04
Si 0.0000 0.5000 0.5000  4 Si 2.80, 4 Th 3.04
Si 0.5000 0.0000 0.5000  4 Si 2.80, 4 Th 3.04
Se 0.3109 0.3109 0.0000  5 Th 2.97-3.14
Se 0.6891 0.6891 0.0000  5 Th 2.97-3.14

* crystal system: tetragonal
* SG: I4/mmm (139)
* energy relative to the elements, uncorrected: -1.24 eV/atom
* magnetization: 0.000 μB/cell